Compound: Li4V3CoO10
Source: Alexandria via LeMat-Bulk
Functional: PBE with a Hubbard U
Structure: relaxed

total moment: 4.00 μB/cell
DFT total energy: -6.593 eV per atom

Cell lengths 4.732, 6.682, 6.643 Å; angles 90.00, 90.33, 90.00 degrees
Fractional positions:
Li: 0.000 0.225 0.000
Li: 0.000 0.775 0.000
Li: 0.078 0.259 0.540
Li: 0.078 0.741 0.540
V: 0.419 0.000 0.242
V: 0.533 0.500 0.248
V: 0.640 0.500 0.736
Co: 0.551 0.000 0.747
O: 0.283 0.500 0.697
O: 0.284 0.000 0.987
O: 0.304 0.000 0.501
O: 0.310 0.290 0.245
O: 0.310 0.710 0.245
O: 0.743 0.500 0.037
O: 0.771 0.500 0.446
O: 0.772 0.000 0.224
O: 0.790 0.235 0.749
O: 0.790 0.765 0.749